Entry from Alexandria: an optimized crystal structure of MnC2OF (PBE with a Hubbard U).

## Properties
Electronic total energy, Ry per atom: -0.363
Crystal system: tetragonal
Magnetic moment, μB per formula unit: 2.1
Space-group type: No. 123
Theoretical density, kg/m³: 3363

a = 3.8916 Å, b = 3.8916 Å, c = 3.7157 Å
α = 90.00°, β = 90.00°, γ = 90.00°
Closest atoms and distances in Å follow each position.
Positions (direct):
1 Mn 0.0000 0.0000 0.0000  2 F 1.86, 4 C 1.95
2 C 0.0000 0.5000 0.0000  2 Mn 1.95
3 C 0.5000 0.0000 0.0000  2 Mn 1.95
4 O 0.5000 0.5000 0.5000  8 C 2.69, 4 F 2.75
5 F 0.0000 0.0000 0.5000  2 Mn 1.86